1.
This record from Alexandria describes a relaxed ThH8PdRh2 crystal. The functional is PBE.

a b c (Å): 6.016 6.016 6.016
angles (deg): 47.15 47.15 47.15
Element x y z (fractional)
1 Th 0.000 0.000 0.000
2 H 0.127 0.821 0.411
3 H 0.179 0.589 0.873
4 H 0.320 0.320 0.320
5 H 0.411 0.127 0.821
6 H 0.589 0.873 0.179
7 H 0.680 0.680 0.680
8 H 0.821 0.411 0.127
9 H 0.873 0.179 0.589
10 Pd 0.500 0.500 0.500
11 Rh 0.215 0.215 0.215
12 Rh 0.785 0.785 0.785

Properties
**Space group**: R-3
**E_tot**: -4.725 eV/atom
**Size of the total moment**: 0.00 Bohr magnetons per cell

2.
This record from Alexandria describes a relaxed KZnH5S2O10 crystal. The functional is PBE.

a b c (Å): 4.660 5.900 8.310
angles (deg): 103.63 98.01 96.99
Element x y z (fractional)
1 K 0.000 0.000 0.000
2 Zn 0.981 0.004 0.511
3 H 0.012 0.660 0.674
4 H 0.326 0.711 0.621
5 H 0.470 0.524 0.018
6 H 0.619 0.275 0.404
7 H 0.920 0.330 0.339
8 S 0.354 0.678 0.266
9 S 0.590 0.314 0.750
10 O 0.155 0.782 0.649
11 O 0.180 0.872 0.297
12 O 0.181 0.442 0.234
13 O 0.347 0.278 0.604
14 O 0.466 0.695 0.100
15 O 0.472 0.301 0.907
16 O 0.609 0.713 0.402
17 O 0.767 0.550 0.776
18 O 0.771 0.121 0.716
19 O 0.784 0.205 0.364

Properties
**Space group**: P1
**E_tot**: -5.409 eV/atom
**Size of the total moment**: 0.00 Bohr magnetons per cell

3.
This record from Alexandria describes a relaxed La2EuF crystal. The functional is PBE.

a b c (Å): 10.024 10.024 10.024
angles (deg): 22.25 22.25 22.25
Element x y z (fractional)
1 La 0.118 0.118 0.118
2 La 0.882 0.882 0.882
3 Eu 0.000 0.000 0.000
4 F 0.500 0.500 0.500

Properties
**Space group**: R-3m
**Formation energy from raw total energies**: -1.037 eV/atom
**Size of the total moment**: 7.16 Bohr magnetons per cell

4.
This record from Alexandria describes a relaxed CrCuPb2 crystal. The functional is PBE.

a b c (Å): 5.800 5.800 5.800
angles (deg): 137.82 137.82 61.18
Element x y z (fractional)
1 Cr 0.000 0.000 0.000
2 Cu 0.250 0.750 0.500
3 Pb 0.500 0.500 0.000
4 Pb 0.750 0.250 0.500

Properties
**Space group**: I-4m2
**Excess energy over the best structure of this formula in the dataset**: 140 meV/atom
**Size of the total moment**: 3.75 Bohr magnetons per cell
**Formation energy**: 1.98 eV per formula unit